DFT (PBE) results for a relaxed structure of Sm2SBr3.

The space group is C2/m (No. 12) and the conventional cell measures 16.269, 4.542 and 11.795 Å, with angles of 90.00, 119.36 and 90.00 degrees. The asymmetric unit holds Sm at (0.097, 0.000, 0.443), Sm at (0.137, 0.500, 0.811), S at (0.099, 0.000, 0.677), Br at (0.057, 0.500, 0.246), Br at (0.158, 0.000, 0.014) and Br at (0.230, 0.500, 0.606).

As for the formation energy from raw total energies: -1.807 eV/atom. The total magnetization is 0.000 μB/f.u.